Entry 1:
First-principles (GGA-PBE) data for Zr2W after structural relaxation, as listed in OQMD via LeMat-Bulk.

Summary:
As for the energy relative to the elements: 0.4 eV/f.u. Its total energy is -9.8718 eV per atom.

The structure in extended XYZ format:
```
24
Lattice="-12.4486 -5.2008 4.2080 0.2326 -0.5477 7.4532 -1.7430 4.4825 0.3838" Properties=species:S:1:pos:R:3 pbc="T T T"
W -9.3452 -4.0146 4.4478
W -3.9682 -1.8471 3.5518
W -10.1448 -4.7548 9.4622
W -11.9820 -5.6170 11.1881
W -11.6885 -2.3215 4.3579
W -6.3116 -0.1540 3.4613
W -3.4422 0.9009 4.1725
W -5.2802 0.0382 5.9004
Zr -7.1694 -3.0265 2.7882
Zr -1.9550 -0.8908 1.5253
Zr -11.1940 -4.9081 6.4868
Zr -5.8754 -2.7523 5.4629
Zr -0.8768 -0.7154 4.3735
Zr -8.1937 -3.8121 7.3120
Zr -2.9803 -1.6859 6.1551
Zr -4.7916 -2.5885 8.4718
Zr -4.4615 0.7401 1.4211
Zr -1.2522 1.9234 2.1753
Zr -8.4870 -1.1420 5.1217
Zr -10.6313 -2.1276 6.8940
Zr -12.4433 -3.0303 9.2079
Zr -7.2316 -0.9048 8.0522
Zr -2.0990 1.2001 6.7782
Zr -9.5492 -1.9643 9.9019
```



Entry 2:
First-principles (GGA-PBE) data for ScAlNi2 after structural relaxation, as listed in OQMD via LeMat-Bulk.

Summary:
Its total energy is -5.6195 eV per atom.

The structure in extended XYZ format:
```
4
Lattice="0.0000 3.0386 3.0386 3.0386 0.0000 3.0386 3.0386 3.0386 0.0000" Properties=species:S:1:pos:R:3 pbc="T T T"
Al 1.5193 1.5193 1.5193
Ni 3.0387 3.0387 3.0387
Ni 4.5580 4.5580 4.5580
Sc 0.0000 0.0000 0.0000
```



Entry 3:
First-principles (GGA-PBE) data for Na2Mg2NiSn2Pd after structural relaxation, as listed in OQMD via LeMat-Bulk.

Summary:
Its total energy is -3.2597 eV per atom.

The structure in extended XYZ format:
```
8
Lattice="-0.2142 -4.3387 -1.8205 -1.1242 -1.7224 4.2372 -6.5051 0.8930 -1.3629" Properties=species:S:1:pos:R:3 pbc="T T T"
Mg -1.7072 -1.9497 -1.2455
Mg -5.4671 -0.1879 1.0910
Na -0.6692 -3.0306 1.2084
Na -3.2525 0.4465 -0.6814
Ni 0.0000 0.0000 0.0000
Pd -3.9217 -2.5841 0.5270
Sn -2.1122 -0.6484 1.7939
Sn -5.0621 -1.4892 -1.9483
```



Entry 4:
First-principles (GGA-PBE) data for Pa2S5 after structural relaxation, as listed in OQMD via LeMat-Bulk.

Summary:
Its total energy is -7.1791 eV per atom.

The structure in extended XYZ format:
```
14
Lattice="-3.4759 -3.9348 5.8196 0.7778 -7.2677 2.8299 4.9656 2.8368 3.9026" Properties=species:S:1:pos:R:3 pbc="T T T"
Pa -0.2692 -7.3445 4.9984
Pa 1.9252 -3.9058 4.2871
Pa 0.3424 -4.4600 8.2649
Pa 2.5368 -1.0213 7.5536
S 0.8762 -5.6997 2.7085
S -0.2114 -2.3594 3.3502
S -0.4543 -4.6204 5.5440
S -0.6846 -6.8913 7.7290
S 2.1709 -6.6405 5.5993
S 0.0967 -1.7252 6.9527
S 2.9522 -1.4744 4.8231
S 2.7219 -3.7453 7.0080
S 2.4790 -6.0063 9.2018
S 1.3914 -2.6661 9.8435
```



Entry 5:
First-principles (GGA-PBE) data for MgNbTl2 after structural relaxation, as listed in OQMD via LeMat-Bulk.

Summary:
Its total energy is -3.4325 eV per atom.

The structure in extended XYZ format:
```
4
Lattice="4.2979 0.1393 2.7213 0.4414 -2.8305 4.2060 3.1154 -4.0236 0.0438" Properties=species:S:1:pos:R:3 pbc="T T T"
Mg 0.0000 0.0000 0.0000
Nb 1.9637 -1.6787 1.7428
Tl 3.9274 -3.3574 3.4855
Tl 5.8911 -5.0361 5.2283
```



Entry 6:
First-principles (GGA-PBE) data for ZrFeTe2 after structural relaxation, as listed in OQMD via LeMat-Bulk.

Summary:
Its total energy is -5.4650 eV per atom.

The structure in extended XYZ format:
```
4
Lattice="-2.4287 1.2911 4.0808 -3.1769 3.7567 -0.1120 -4.8332 -0.8532 0.3608" Properties=species:S:1:pos:R:3 pbc="T T T"
Fe -2.6097 1.0487 1.0824
Te 0.0000 0.0000 0.0000
Te -7.8291 3.1460 3.2471
Zr -5.2194 2.0974 2.1648
```



Entry 7:
First-principles (GGA-PBE) data for NdTmNO after structural relaxation, as listed in OQMD via LeMat-Bulk.

Summary:
Its total energy is -7.7904 eV per atom.

The structure in extended XYZ format:
```
16
Lattice="6.7133 0.0000 0.0000 0.0000 8.1520 0.0000 0.0000 0.0000 4.9809" Properties=species:S:1:pos:R:3 pbc="T T T"
N 2.8129 3.1466 0.2519
N 6.1695 5.0054 0.2519
N 0.5438 3.1466 2.7424
N 3.9004 5.0054 2.7424
Nd 3.8106 1.0305 0.2527
Nd 0.4539 7.1214 0.2527
Nd 6.2594 1.0305 2.7431
Nd 2.9027 7.1214 2.7431
O 6.1449 1.2109 0.2518
O 2.7883 6.9411 0.2518
O 3.9250 1.2109 2.7423
O 0.5684 6.9411 2.7423
Tm 0.5769 3.0941 0.2517
Tm 3.9336 5.0579 0.2517
Tm 2.7797 3.0941 2.7422
Tm 6.1364 5.0579 2.7422
```



Entry 8:
First-principles (GGA-PBE) data for Dy7Pd2S2 after structural relaxation, as listed in OQMD via LeMat-Bulk.

Summary:
Its total energy is -5.6212 eV per atom.

The structure in extended XYZ format:
```
11
Lattice="7.8830 -1.3338 4.2649 -6.1235 5.4880 3.8070 3.8018 -7.9729 -2.0220" Properties=species:S:1:pos:R:3 pbc="T T T"
Dy 0.8660 2.0448 3.9731
Dy -4.9620 3.9749 3.2114
Dy 3.9175 -2.5418 1.5571
Dy -2.2746 0.9358 2.4762
Dy 0.7707 -1.4897 3.0607
Dy 8.1336 -5.8999 2.3663
Dy 4.0273 -3.1848 4.9368
Pd 3.5091 -0.5555 3.7911
Pd 1.7111 -4.0683 0.6942
S 0.2583 0.6098 1.1849
S 6.2639 -3.6580 3.0553
```



Entry 9:
First-principles (GGA-PBE) data for Pr2SnO6 after structural relaxation, as listed in OQMD via LeMat-Bulk.

Summary:
Its total energy is -6.9730 eV per atom.

The structure in extended XYZ format:
```
18
Lattice="-0.5201 2.0069 -3.3086 -1.6852 -8.7553 -5.0459 -5.1383 -1.3976 4.1410" Properties=species:S:1:pos:R:3 pbc="T T T"
O -0.8830 -2.2671 -2.5687
O -2.9626 -6.6918 -6.9295
O -2.3593 -4.7417 -3.8912
O -1.9787 -0.4378 -1.0859
O -2.4486 -4.0637 -1.2612
O -4.1502 -6.5247 -4.4902
O -3.1934 -1.6212 0.2767
O -4.8950 -4.0822 -2.9523
O -5.3649 -7.7081 -3.1275
O -4.9843 -3.4042 -0.3223
O -4.3810 -1.4541 2.7160
O -6.4606 -5.8788 -1.6447
Pr -1.5524 -6.9020 -4.9548
Pr -3.5217 -2.1016 -2.2262
Pr -3.8219 -6.0443 -1.9873
Pr -5.7912 -1.2439 0.7413
Sn -0.8426 -4.3776 -2.5229
Sn -2.5692 -0.6988 2.0705
```



Entry 10:
First-principles (GGA-PBE) data for BaNiAgS3 after structural relaxation, as listed in OQMD via LeMat-Bulk.

Summary:
Its total energy is -4.4163 eV per atom.

The structure in extended XYZ format:
```
12
Lattice="-0.8141 7.4823 -0.4739 -1.7456 0.0360 3.5667 7.8969 -2.1384 3.8864" Properties=species:S:1:pos:R:3 pbc="T T T"
Ag 0.3288 0.5275 1.2610
Ag 5.0084 4.8524 5.7183
Ba -0.0626 5.2524 3.2324
Ba 5.3998 0.1274 3.7468
Ni 1.2075 1.8173 3.8887
Ni 4.1298 3.5626 3.0906
S -0.9684 2.0838 2.8211
S 2.5086 0.0554 2.3326
S 2.1755 3.1608 2.1382
S 3.1618 2.2191 4.8411
S 2.8286 5.3245 4.6467
S 6.3057 3.2961 4.1582
```



Entry 11:
First-principles (GGA-PBE) data for Pr3Ag4Sn2Ge2 after structural relaxation, as listed in OQMD via LeMat-Bulk.

Summary:
Its total energy is -4.4727 eV per atom.

The structure in extended XYZ format:
```
11
Lattice="-2.3168 3.6205 7.7001 2.3168 -3.6205 7.7001 2.3168 3.6205 -7.7001" Properties=species:S:1:pos:R:3 pbc="T T T"
Ag 0.0000 1.4147 2.4852
Ag 2.3168 -2.2058 5.2149
Ag 0.0000 5.8263 2.4852
Ag 2.3168 2.2058 5.2149
Ge 0.0000 2.3174 0.0000
Ge 0.0000 4.9236 0.0000
Pr 0.0000 0.0000 5.7772
Pr 0.0000 0.0000 9.6230
Pr 2.3168 0.0000 0.0000
Sn 0.0000 3.6205 4.3637
Sn 2.3168 0.0000 3.3364
```



Entry 12:
First-principles (GGA-PBE) data for Y3Er3Te2Ir after structural relaxation, as listed in OQMD via LeMat-Bulk.

Summary:
Its total energy is -6.1774 eV per atom.

The structure in extended XYZ format:
```
9
Lattice="8.3280 0.0000 0.0000 -4.1640 7.2122 0.0000 0.0000 0.0000 3.9689" Properties=species:S:1:pos:R:3 pbc="T T T"
Er 3.2835 0.0000 0.0000
Er -1.6418 2.8436 0.0000
Er 2.5222 4.3686 0.0000
Ir 0.0000 0.0000 0.0000
Te 4.1640 2.4041 1.9844
Te 0.0000 4.8082 1.9844
Y 6.2899 0.0000 1.9844
Y 1.0190 1.7650 1.9844
Y -3.1450 5.4472 1.9844
```



Entry 13:
First-principles (GGA-PBE) data for NdBeB4 after structural relaxation, as listed in OQMD via LeMat-Bulk.

Summary:
Its total energy is -5.7199 eV per atom.

The structure in extended XYZ format:
```
6
Lattice="-1.5805 2.6275 4.0472 1.5805 -2.6275 4.0472 1.5805 2.6275 -4.0472" Properties=species:S:1:pos:R:3 pbc="T T T"
B 0.0000 1.7155 1.9799
B 1.5805 -0.9119 2.0673
B 0.0000 3.5394 1.9799
B 1.5805 0.9119 2.0673
Be 0.0000 0.0000 0.0000
Nd 0.0000 0.0000 4.0472
```



Entry 14:
First-principles (GGA-PBE) data for BaPtNO after structural relaxation, as listed in OQMD via LeMat-Bulk.

Summary:
Its total energy is -5.9783 eV per atom.

The structure in extended XYZ format:
```
16
Lattice="5.3796 0.0000 0.0000 0.0005 6.6413 0.0000 0.0001 0.0007 7.7190" Properties=species:S:1:pos:R:3 pbc="T T T"
Ba 2.6867 0.4853 2.4747
Ba 5.3767 2.8350 2.4757
Ba 2.6869 3.8071 5.2433
Ba 5.3771 6.1564 5.2444
N 4.3099 0.9449 0.1488
N 1.6203 2.3766 0.1492
N 4.3109 4.2654 7.5689
N 1.6211 5.6972 7.5692
O 2.7792 3.1845 2.6747
O 0.0893 0.1362 2.6750
O 2.7792 6.5059 5.0441
O 0.0894 3.4571 5.0447
Pt 2.5852 4.3188 0.8848
Pt 5.2742 5.6428 0.8849
Pt 5.2748 2.3235 6.8347
Pt 2.5843 0.9991 6.8347
```



Entry 15:
First-principles (GGA-PBE) data for Nb4SiGeN2 after structural relaxation, as listed in OQMD via LeMat-Bulk.

Summary:
Its total energy is -9.0419 eV per atom.

The structure in extended XYZ format:
```
8
Lattice="3.2418 0.0000 0.0000 -1.6209 2.8075 0.0000 0.0000 0.0000 12.3799" Properties=species:S:1:pos:R:3 pbc="T T T"
Ge 0.0000 1.8716 6.1899
N 0.0000 0.0000 3.0509
N 0.0000 0.0000 9.3291
Nb 0.0000 1.8716 1.8790
Nb 1.6209 0.9358 4.1767
Nb 1.6209 0.9358 8.2032
Nb 0.0000 1.8716 10.5009
Si 1.6209 0.9358 0.0000
```



Entry 16:
First-principles (GGA-PBE) data for SrLi3Ho2Pb3 after structural relaxation, as listed in OQMD via LeMat-Bulk.

Summary:
Its total energy is -3.5615 eV per atom.

The structure in extended XYZ format:
```
9
Lattice="-3.6423 -0.6228 3.1191 1.4261 -3.6643 -2.8146 7.4371 -3.2741 8.0308" Properties=species:S:1:pos:R:3 pbc="T T T"
Ho 2.5292 -1.1134 2.7311
Ho 4.9079 -2.1606 5.2997
Li -0.4031 -2.3188 2.8146
Li 3.4552 -4.2875 3.1787
Li 3.9346 -4.2284 7.4986
Pb 1.2227 -3.3047 0.7680
Pb 1.7657 -3.2736 5.1566
Pb 5.6877 -5.2703 5.5894
Sr 0.0000 0.0000 0.0000
```



Entry 17:
First-principles (GGA-PBE) data for SmHo2Ge4Pd4 after structural relaxation, as listed in OQMD via LeMat-Bulk.

Summary:
Its total energy is -5.7485 eV per atom.

The structure in extended XYZ format:
```
11
Lattice="-5.1393 -6.3183 0.0218 -6.2561 0.0395 5.2147 3.9278 3.2289 -6.3623" Properties=species:S:1:pos:R:3 pbc="T T T"
Ge -2.4969 -1.3758 1.1474
Ge -8.8984 -4.9030 4.0891
Ge -5.9217 -3.7108 1.4455
Ge -1.5458 0.6610 -2.5713
Ho -2.0437 -2.3370 -2.5095
Ho -5.4238 -0.7129 1.3836
Pd -4.0534 -2.9557 -0.1942
Pd -8.0645 -5.1657 1.6490
Pd 0.5969 2.1159 -2.7748
Pd -3.4141 -0.0942 -0.9316
Sm 0.0000 0.0000 0.0000
```



Entry 18:
First-principles (GGA-PBE) data for KTbCoSe3 after structural relaxation, as listed in OQMD via LeMat-Bulk.

Summary:
Its total energy is -4.8348 eV per atom.

The structure in extended XYZ format:
```
12
Lattice="8.3303 -2.1258 0.0000 8.3303 2.1258 0.0000 -1.9432 0.0000 8.3320" Properties=species:S:1:pos:R:3 pbc="T T T"
Co 7.9278 0.0000 1.6904
Co 6.7896 0.0000 6.6416
K 13.4173 0.0000 3.5836
K 1.3001 0.0000 4.7484
Se 0.0000 0.0000 0.0000
Se 5.4760 0.0000 1.2164
Se 10.2308 0.0000 2.4483
Se 7.3587 0.0000 4.1660
Se 4.4866 0.0000 5.8836
Se 9.2414 0.0000 7.1156
Tb 2.6460 0.0000 0.7427
Tb 12.0715 0.0000 7.5893
```



Entry 19:
First-principles (GGA-PBE) data for ErMgCuS3 after structural relaxation, as listed in OQMD via LeMat-Bulk.

Summary:
Its total energy is -4.9933 eV per atom.

The structure in extended XYZ format:
```
12
Lattice="1.4816 0.8549 -6.0829 -1.7806 2.7508 5.4028 9.7993 1.2973 2.5690" Properties=species:S:1:pos:R:3 pbc="T T T"
Cu 2.3643 2.0900 0.0771
Cu 7.1360 2.8129 1.8119
Er 0.0000 0.0000 0.0000
Er 4.8997 0.6486 1.2845
Mg 1.4386 2.6280 3.3362
Mg 8.0617 2.2750 -1.4473
S 1.1323 1.6322 -1.8085
S 3.5994 1.3721 -4.2717
S 4.4223 2.0677 -0.9460
S 5.0780 2.8352 2.8349
S 5.9009 3.5308 6.1606
S 8.3680 3.2708 3.6974
```



Entry 20:
First-principles (GGA-PBE) data for HfIrOs after structural relaxation, as listed in OQMD via LeMat-Bulk.

Summary:
As for the energy relative to the elements: 0.3 eV/f.u. Its total energy is -9.9037 eV per atom.

The structure in extended XYZ format:
```
3
Lattice="-2.8549 -0.1552 3.2680 -4.2609 0.0361 -0.8358 -2.3694 -3.5812 0.6448" Properties=species:S:1:pos:R:3 pbc="T T T"
Hf -2.3713 -0.9251 0.7693
Ir 0.0000 0.0000 0.0000
Os -7.1139 -2.7752 2.3078
```



Entry 21:
First-principles (GGA-PBE) data for BaAgNO after structural relaxation, as listed in OQMD via LeMat-Bulk.

Summary:
Its total energy is -4.8370 eV per atom.

The structure in extended XYZ format:
```
8
Lattice="-1.9492 -3.3762 0.0000 0.0000 0.0000 6.1072 -5.3211 3.0721 0.0000" Properties=species:S:1:pos:R:3 pbc="T T T"
Ag -2.4993 -0.8078 0.0613
Ag -4.7711 0.5038 3.1148
Ba -1.0148 0.5859 3.1168
Ba -4.3063 2.4862 0.0632
N -1.8911 1.0918 6.0027
N -3.4300 1.9803 2.9491
O -1.0952 -1.6185 1.5312
O -6.1751 1.3144 4.5848
```



Entry 22:
First-principles (GGA-PBE) data for KBiIr after structural relaxation, as listed in OQMD via LeMat-Bulk.

Summary:
Its total energy is -3.1989 eV per atom.

The structure in extended XYZ format:
```
3
Lattice="0.0000 3.5075 3.5075 3.5075 0.0000 3.5075 3.5075 3.5075 0.0000" Properties=species:S:1:pos:R:3 pbc="T T T"
Bi 1.7538 1.7538 1.7538
Ir 5.2613 5.2613 5.2613
K 0.0000 0.0000 0.0000
```



Values of V, in order: 20.288 14.028 18.596 21.857 23.297 21.069 17.037 24.385 12.756 21.129 23.487 26.487 11.204 17.236 14.084 25.706 19.042 24.591 18.940 19.297 18.286 28.768, all in Å³/atom.